The following is a GGA-PBE calculation of an optimized crystal structure of USiAu, from the Alexandria database.

Geometry as POSCAR:
```
USiAu
1.0
3.843 0.000 0.000
1.922 3.328 0.000
1.922 1.109 8.975
U Au Si
2 2 2
direct
0.140 0.140 0.579
0.860 0.860 0.421
0.300 0.300 0.101
0.700 0.700 0.899
0.406 0.406 0.783
0.594 0.594 0.217
```

Properties
ρ = 13.396 g cm⁻³
N(E_F) = 1.468 states/eV per atom
Raw total energy = -6.65 eV per atom